Record 1
Entry from Alexandria: crystalline CoAs2Pb at its relaxed geometry (PBE-GGA).

abc: 3.2518 3.2518 7.3986
angles: 90.00 90.00 90.00
With the nearest neighbours (Å) after each atom.
Atoms (fractional coordinates):
Co 0.0000 0.0000 0.0000  5 As 2.45-2.50
As 0.0000 0.0000 0.6618  1 Co 2.50
As 0.5000 0.5000 0.8866  4 Co 2.45
Pb 0.5000 0.5000 0.2945  1 As 3.02, 4 Co 3.17, 4 Pb 3.25

**Theoretical density**: 8.8 g/cm³
**DFT formation energy**: 0.19 eV/atom
**SG**: No. 99


Record 2
Entry from Alexandria: crystalline CoAs2Pb at its relaxed geometry (PBE-GGA).

abc: 4.7807 4.7807 3.7423
angles: 90.00 90.00 108.98
With the nearest neighbours (Å) after each atom.
Atoms (fractional coordinates):
Co 0.0000 0.0000 0.0000  2 Pb 2.78, 8 As 3.04
As 0.0000 0.5000 0.5000  2 As 2.78, 4 Pb 3.04, 4 Co 3.04
As 0.5000 0.0000 0.5000  2 As 2.78, 4 Pb 3.04, 4 Co 3.04
Pb 0.5000 0.5000 0.0000  2 Co 2.78, 8 As 3.04

**Theoretical density**: 8.5 g/cm³
**DFT formation energy**: 0.55 eV/atom
**SG**: No. 65


Record 3
Entry from Alexandria: crystalline CoAs2Pb at its relaxed geometry (PBE-GGA).

abc: 8.9647 8.9647 8.9647
angles: 160.55 160.19 27.91
With the nearest neighbours (Å) after each atom.
Atoms (fractional coordinates):
Co 0.0000 0.0000 0.0000  6 As 2.37-2.46
As 0.4330 0.4330 0.0000  4 Co 2.46
As 0.6037 0.1037 0.5000  2 Co 2.37
Pb 0.2622 0.7622 0.5000  4 Pb 3.03-3.08, 2 As 3.34

**Theoretical density**: 8.5 g/cm³
**DFT formation energy**: 0.07 eV/atom
**SG**: No. 44


Record 4
Entry from Alexandria: crystalline CoAs2Pb at its relaxed geometry (PBE-GGA).

abc: 3.0383 3.0383 8.5250
angles: 90.00 90.00 90.00
With the nearest neighbours (Å) after each atom.
Atoms (fractional coordinates):
Co 0.0000 0.0000 0.0000  8 As 2.57
As 0.5000 0.5000 0.1647  4 Co 2.57, 1 As 2.81
As 0.5000 0.5000 0.8353  4 Co 2.57, 1 As 2.81
Pb 0.0000 0.0000 0.5000  4 Pb 3.04

**Theoretical density**: 8.8 g/cm³
**DFT formation energy**: 0.08 eV/atom
**SG**: No. 123


Record 5
Entry from Alexandria: crystalline CoAs2Pb at its relaxed geometry (PBE-GGA).

abc: 3.8118 3.8118 5.6175
angles: 90.00 90.00 90.00
With the nearest neighbours (Å) after each atom.
Atoms (fractional coordinates):
Co 0.0000 0.0000 0.0000  4 Pb 2.70, 2 As 2.81
As 0.0000 0.0000 0.5000  4 As 2.70, 2 Co 2.81
As 0.5000 0.5000 0.5000  4 As 2.70, 2 Pb 2.81
Pb 0.5000 0.5000 0.0000  4 Co 2.70, 2 As 2.81

**Theoretical density**: 8.5 g/cm³
**DFT formation energy**: 0.46 eV/atom
**SG**: No. 123


Record 6
Entry from Alexandria: crystalline CoAs2Pb at its relaxed geometry (PBE-GGA).

abc: 3.7821 3.7821 6.8629
angles: 106.05 106.05 60.11
With the nearest neighbours (Å) after each atom.
Atoms (fractional coordinates):
Co 0.0000 0.0000 0.0000  6 As 2.41
As 0.2812 0.2812 0.8437  3 Co 2.41
As 0.7188 0.7188 0.1563  3 Co 2.41
Pb 0.5000 0.5000 0.5000  6 As 3.13

**Theoretical density**: 8.6 g/cm³
**DFT formation energy**: 0.00 eV/atom
**SG**: No. 12


Record 7
Entry from Alexandria: crystalline CoAs2Pb at its relaxed geometry (PBE-GGA).

abc: 4.2845 4.2845 6.3124
angles: 105.33 105.33 48.95
With the nearest neighbours (Å) after each atom.
Atoms (fractional coordinates):
Co 0.0000 0.0000 0.0000  5 As 2.32-2.40
As 0.3050 0.3050 0.0418  3 Co 2.32-2.40, 1 As 2.55
As 0.4620 0.4620 0.7388  2 Co 2.38, 1 As 2.55
Pb 0.6747 0.6747 0.4014  6 As 3.06-3.27, 2 Co 3.07

**Theoretical density**: 8.3 g/cm³
**DFT formation energy**: 0.01 eV/atom
**SG**: No. 8


Record 8
Entry from Alexandria: crystalline CoAs2Pb at its relaxed geometry (PBE-GGA).

abc: 7.0823 7.0823 7.0823
angles: 130.95 130.95 71.90
With the nearest neighbours (Å) after each atom.
Atoms (fractional coordinates):
Co 0.0000 0.0000 0.0000  4 As 2.25
Co 0.7500 0.2500 0.5000  4 As 2.25
As 0.0326 0.6250 0.9076  2 Co 2.25
As 0.3750 0.2826 0.4076  2 Co 2.25
As 0.7174 0.1250 0.0924  2 Co 2.25
As 0.8750 0.9674 0.5924  2 Co 2.25
Pb 0.2500 0.7500 0.5000  4 As 2.88
Pb 0.5000 0.5000 0.0000  4 As 2.88

**Theoretical density**: 7.0 g/cm³
**DFT formation energy**: 0.06 eV/atom
**SG**: No. 122


Record 9
Entry from Alexandria: crystalline Co3AsPb at its relaxed geometry (PBE-GGA).

abc: 4.4254 4.4254 4.4254
angles: 90.00 90.00 90.00
With the nearest neighbours (Å) after each atom.
Atoms (fractional coordinates):
Co 0.0000 0.0000 0.5000  2 As 2.21
Co 0.0000 0.5000 0.0000  2 As 2.21
Co 0.5000 0.0000 0.0000  2 As 2.21
As 0.0000 0.0000 0.0000  6 Co 2.21
Pb 0.5000 0.5000 0.5000  12 Co 3.13

**Theoretical density**: 8.8 g/cm³
**DFT formation energy**: 0.51 eV/atom
**Energy above the most stable polymorph in this dataset**: 0 meV per atom
**SG**: No. 221


Record 10
Entry from Alexandria: crystalline CoAs2Pb at its relaxed geometry (PBE-GGA).

abc: 3.9208 3.9051 5.6177
angles: 90.00 91.38 90.00
With the nearest neighbours (Å) after each atom.
Atoms (fractional coordinates):
Co 0.0000 0.0000 0.0000  4 As 2.36-2.39
As 0.5031 0.0000 0.2378  2 Co 2.36-2.39
As 0.9883 0.5000 0.2387  2 Co 2.37
Pb 0.4830 0.5000 0.7507  4 Co 3.08-3.12, 5 As 3.34-3.43

**Theoretical density**: 8.0 g/cm³
**DFT formation energy**: 0.12 eV/atom
**SG**: No. 6


Record 11
Entry from Alexandria: crystalline CoAs2Pb at its relaxed geometry (PBE-GGA).

abc: 3.9852 3.9852 4.9333
angles: 90.00 90.00 90.00
With the nearest neighbours (Å) after each atom.
Atoms (fractional coordinates):
Co 0.0000 0.0000 0.0000  4 Pb 2.82
As 0.0000 0.5000 0.5000  4 As 2.82
As 0.5000 0.0000 0.5000  4 As 2.82
Pb 0.5000 0.5000 0.0000  4 Co 2.82

**Theoretical density**: 8.8 g/cm³
**DFT formation energy**: 0.55 eV/atom
**SG**: No. 123


Record 12
Entry from Alexandria: crystalline CoAs2Pb at its relaxed geometry (PBE-GGA).

abc: 5.1129 5.1129 5.1129
angles: 129.16 129.16 74.75
With the nearest neighbours (Å) after each atom.
Atoms (fractional coordinates):
Co 0.0000 0.0000 0.0000  8 As 2.99-3.10, 4 Pb 2.99
As 0.5000 0.5000 0.0000  4 As 2.99, 4 Pb 2.99, 4 Co 3.10
As 0.7500 0.2500 0.5000  4 As 2.99, 4 Co 2.99, 4 Pb 3.10
Pb 0.2500 0.7500 0.5000  8 As 2.99-3.10, 4 Co 2.99

**Theoretical density**: 8.8 g/cm³
**DFT formation energy**: 0.58 eV/atom
**SG**: No. 119


Question: What is the formula in the first record?
Answer: CoAs2Pb


Copy entry 1 word for word.
Entry from Alexandria: crystalline CoAs2Pb at its relaxed geometry (PBE-GGA).

abc: 3.2518 3.2518 7.3986
angles: 90.00 90.00 90.00
With the nearest neighbours (Å) after each atom.
Atoms (fractional coordinates):
Co 0.0000 0.0000 0.0000  5 As 2.45-2.50
As 0.0000 0.0000 0.6618  1 Co 2.50
As 0.5000 0.5000 0.8866  4 Co 2.45
Pb 0.5000 0.5000 0.2945  1 As 3.02, 4 Co 3.17, 4 Pb 3.25

**Theoretical density**: 8.8 g/cm³
**DFT formation energy**: 0.19 eV/atom
**SG**: No. 99